# LiZr2GeS PBE-GGA optimized geometry
# electronic total energy	-5.503	eV per atom
# energy relative to the elements, uncorrected	48.1	meV/atom
data_LiZr2GeS
_chemical_formula_sum 'Li1 Zr2 Ge1 S1'
_cell_length_a 4.873
_cell_length_b 4.873
_cell_length_c 3.782
_cell_angle_alpha 90.00
_cell_angle_beta 90.00
_cell_angle_gamma 90.00
_symmetry_space_group_name_H-M 'P 4/m m m'
_symmetry_Int_Tables_number 123
_symmetry_space_group_name_Hall '-P 4 2'
loop_
_atom_site_label
_atom_site_type_symbol
_atom_site_fract_x
_atom_site_fract_y
_atom_site_fract_z
_atom_site_occupancy
Li1 Li 0.000 0.000 0.000 1
Zr1 Zr 0.000 0.500 0.000 1
Ge1 Ge 0.500 0.500 0.500 1
S1 S 0.000 0.000 0.500 1

***

# CdFeW2 PBE-GGA optimized geometry
# electronic total energy	-8.252	eV per atom
# formation energy	0.57	eV per atom
data_CdFeW2
_chemical_formula_sum 'Cd2 Fe2 W4'
_cell_length_a 3.221
_cell_length_b 4.574
_cell_length_c 8.684
_cell_angle_alpha 90.00
_cell_angle_beta 90.00
_cell_angle_gamma 90.00
_symmetry_space_group_name_H-M 'I m m 2'
_symmetry_Int_Tables_number 44
loop_
_symmetry_equiv_pos_as_xyz
'x,y,z'
'-x,-y,z'
'-x,y,z'
'x,-y,z'
'x+1/2,y+1/2,z+1/2'
'-x+1/2,-y+1/2,z+1/2'
'-x+1/2,y+1/2,z+1/2'
'x+1/2,-y+1/2,z+1/2'
loop_
_atom_site_label
_atom_site_type_symbol
_atom_site_fract_x
_atom_site_fract_y
_atom_site_fract_z
_atom_site_occupancy
Cd1 Cd 0.000 0.000 0.000 1
Fe1 Fe 0.000 0.500 0.752 1
W1 W 0.000 0.000 0.480 1
W2 W 0.000 0.500 0.221 1

***

# TbPmDyMg PBE-GGA optimized geometry
# energy relative to the lowest polymorph listed for this composition	107.8	meV/atom
# electronic total energy	-3.817	eV per atom
# formation energy	0.08	eV per atom
data_TbPmDyMg
_chemical_formula_sum 'Tb4 Pm4 Dy4 Mg4'
_cell_length_a 7.841
_cell_length_b 7.841
_cell_length_c 7.841
_cell_angle_alpha 90.00
_cell_angle_beta 90.00
_cell_angle_gamma 90.00
_symmetry_space_group_name_H-M 'F -4 3 m'
_symmetry_Int_Tables_number 216
_symmetry_space_group_name_Hall 'F -4 2 3'
loop_
_atom_site_label
_atom_site_type_symbol
_atom_site_fract_x
_atom_site_fract_y
_atom_site_fract_z
_atom_site_occupancy
Tb1 Tb 0.000 0.000 0.000 1
Pm1 Pm 0.250 0.250 0.250 1
Dy1 Dy 0.000 0.000 0.500 1
Mg1 Mg 0.250 0.250 0.750 1

***

# Tb2P4Ir5 PBE-GGA optimized geometry
# electronic total energy	-7.563	eV per atom
# formation energy	-0.73	eV per atom
data_Tb2P4Ir5
_chemical_formula_sum 'Tb8 P16 Ir20'
_cell_length_a 5.440
_cell_length_b 9.704
_cell_length_c 14.224
_cell_angle_alpha 90.00
_cell_angle_beta 90.00
_cell_angle_gamma 90.00
_symmetry_space_group_name_H-M 'F m m m'
_symmetry_Int_Tables_number 69
_symmetry_space_group_name_Hall '-F 2 2'
loop_
_atom_site_label
_atom_site_type_symbol
_atom_site_fract_x
_atom_site_fract_y
_atom_site_fract_z
_atom_site_occupancy
Tb1 Tb 0.000 0.000 0.132 1
P1 P 0.000 0.160 0.372 1
Ir1 Ir 0.000 0.000 0.500 1
Ir2 Ir 0.250 0.250 0.000 1
Ir3 Ir 0.250 0.250 0.250 1

***

# AsRu3Br PBE-GGA optimized geometry
# energy relative to the lowest polymorph listed for this composition	0.0	meV/atom
# electronic total energy	-5.640	eV per atom
# energy relative to the elements, uncorrected	1189.6	meV/atom
data_AsRu3Br
_chemical_formula_sum 'As1 Ru3 Br1'
_cell_length_a 4.664
_cell_length_b 4.664
_cell_length_c 4.664
_cell_angle_alpha 90.00
_cell_angle_beta 90.00
_cell_angle_gamma 90.00
_symmetry_space_group_name_H-M 'P m -3 m'
_symmetry_Int_Tables_number 221
_symmetry_space_group_name_Hall '-P 4 2 3'
loop_
_atom_site_label
_atom_site_type_symbol
_atom_site_fract_x
_atom_site_fract_y
_atom_site_fract_z
_atom_site_occupancy
As1 As 0.000 0.000 0.000 1
Ru1 Ru 0.000 0.000 0.500 1
Br1 Br 0.500 0.500 0.500 1

***

# CeBeZn2Au5 PBE-GGA optimized geometry
# electronic total energy	-3.421	eV per atom
# formation energy	-0.24	eV per atom
data_CeBeZn2Au5
_chemical_formula_sum 'Ce2 Be2 Zn4 Au10'
_cell_length_a 4.510
_cell_length_b 6.143
_cell_length_c 12.936
_cell_angle_alpha 90.00
_cell_angle_beta 90.00
_cell_angle_gamma 90.00
_symmetry_space_group_name_H-M 'I m m m'
_symmetry_Int_Tables_number 71
_symmetry_space_group_name_Hall '-I 2 2'
loop_
_atom_site_label
_atom_site_type_symbol
_atom_site_fract_x
_atom_site_fract_y
_atom_site_fract_z
_atom_site_occupancy
Ce1 Ce 0.000 0.000 0.000 1
Be1 Be 0.000 0.000 0.500 1
Zn1 Zn 0.000 0.500 0.199 1
Au1 Au 0.000 0.259 0.363 1
Au2 Au 0.000 0.500 0.000 1